Record 1
BiTe2Ir | meta-GGA SCAN | PBEsol geometry

Cell: 3.1213 3.1213 12.2765 Å, 82.70 82.70 60.00°
Sites, in units of the cell vectors:
1 Ir 0.0000 0.0000 0.0000
2 Te 0.9303 0.9303 0.2091
3 Te 0.0697 0.0697 0.7909
4 Bi 0.5000 0.5000 0.5000

Summary:
Symmetry ... R-3m
Formation energy (no corrections) ... 0.518 eV per atom
D(E_F) ... 0.91 states/eV/atom

---

Record 2
TlBi3Ir | meta-GGA SCAN | PBEsol geometry

Cell: 5.3687 5.3687 5.3687 Å, 90.00 90.00 90.00°
Sites, in units of the cell vectors:
1 Tl 0.5000 0.5000 0.5000
2 Ir 0.0000 0.0000 0.0000
3 Bi 0.0000 0.5000 0.0000
4 Bi 0.0000 0.0000 0.5000
5 Bi 0.5000 0.0000 0.0000

Summary:
Symmetry ... Pm-3m
D(E_F) ... 1.05 states/eV/atom
Formation enthalpy at 0 K ... 0.497 eV per atom

---

Record 3
ZnBi3Ir | meta-GGA SCAN | PBEsol geometry

Cell: 5.3196 5.3196 5.3196 Å, 90.00 90.00 90.00°
Sites, in units of the cell vectors:
1 Zn 0.5000 0.5000 0.5000
2 Ir 0.0000 0.0000 0.0000
3 Bi 0.0000 0.5000 0.0000
4 Bi 0.0000 0.0000 0.5000
5 Bi 0.5000 0.0000 0.0000

Summary:
Symmetry ... Pm-3m
D(E_F) ... 0.77 states/eV/atom
Formation enthalpy at 0 K ... 0.730 eV per atom

---

Record 4
ZrBiIr2 | meta-GGA SCAN | PBEsol geometry

Cell: 5.7194 5.7194 7.5770 Å, 112.17 112.17 90.00°
Sites, in units of the cell vectors:
1 Ir 0.3864 0.8750 0.2500
2 Ir 0.8636 0.3750 0.2500
3 Ir 0.1250 0.1364 0.7500
4 Ir 0.6250 0.6136 0.7500
5 Bi 0.2500 0.7500 0.5000
6 Bi 0.0000 0.0000 0.0000
7 Zr 0.7500 0.2500 0.5000
8 Zr 0.5000 0.5000 0.0000

Summary:
Symmetry ... I-42d
D(E_F) ... 0.50 states/eV/atom
Formation enthalpy at 0 K ... 0.289 eV per atom

---

- Among the records above, which one has the lowest D(E_F)?
  ZrBiIr2